A relaxed structure of Li2InGaHg. Source: Alexandria via LeMat-Bulk, functional PBE.

* ΔH_f (0 K): -0.232 eV/atom

Lattice parameters (Å, degrees): 4.3244 6.5887 6.8718 88.02 90.00 90.00
Closest atoms and distances in Å follow each position.
Fractional coordinates of all 10 atoms:
Li 0.7500 0.8359 0.5464  3 Hg 2.88-2.95, 3 Ga 2.90-2.97, 3 Li 3.05-3.11, 3 In 3.05-3.18
Li 0.7500 0.6614 0.9625  3 Ga 2.92-3.14, 3 Hg 2.96-3.10, 3 In 2.99-3.05, 3 Li 3.05-3.06
Li 0.2500 0.1641 0.4536  3 Hg 2.88-2.95, 3 Ga 2.90-2.97, 3 Li 3.05-3.11, 3 In 3.05-3.18
Li 0.2500 0.3386 0.0375  3 Ga 2.92-3.14, 3 Hg 2.96-3.10, 3 In 2.99-3.05, 3 Li 3.05-3.06
In 0.2500 0.7363 0.2524  3 Ga 2.90-3.00, 6 Li 2.99-3.18, 3 Hg 3.09-3.22
In 0.7500 0.2637 0.7476  3 Ga 2.90-3.00, 6 Li 2.99-3.18, 3 Hg 3.09-3.22
Ga 0.2500 0.5449 0.6545  1 Hg 2.84, 3 In 2.90-3.00, 6 Li 2.90-3.14, 2 Ga 3.10
Ga 0.7500 0.4551 0.3455  1 Hg 2.84, 3 In 2.90-3.00, 6 Li 2.90-3.14, 2 Ga 3.10
Hg 0.2500 0.9349 0.8181  1 Ga 2.84, 6 Li 2.88-3.10, 2 In 3.09
Hg 0.7500 0.0651 0.1819  1 Ga 2.84, 6 Li 2.88-3.10, 2 In 3.09

A relaxed structure of Li2In2GaHg5. Source: Alexandria via LeMat-Bulk, functional PBE.

* ΔH_f (0 K): -0.098 eV/atom

Lattice parameters (Å, degrees): 4.0433 10.6589 10.6589 90.00 90.00 90.00
Closest atoms and distances in Å follow each position.
Fractional coordinates of all 20 atoms:
Li 0.0000 0.1283 0.6283  6 Hg 2.80-2.81, 1 In 3.05
Li 0.0000 0.8717 0.3717  6 Hg 2.80-2.81, 1 In 3.05
Li 0.0000 0.6283 0.8717  6 Hg 2.80-2.81, 1 In 3.05
Li 0.0000 0.3717 0.1283  6 Hg 2.80-2.81, 1 In 3.05
In 0.0000 0.6694 0.1694  3 Li 3.05-3.20, 6 Hg 3.26-3.35
In 0.0000 0.3306 0.8306  3 Li 3.05-3.20, 6 Hg 3.26-3.35
In 0.0000 0.1694 0.3306  3 Li 3.05-3.20, 6 Hg 3.26-3.35
In 0.0000 0.8306 0.6694  3 Li 3.05-3.20, 6 Hg 3.26-3.35
Ga 0.0000 0.0000 0.0000  8 Hg 3.02
Ga 0.0000 0.5000 0.5000  8 Hg 3.02
Hg 0.5000 0.1947 0.0814  2 Li 2.81, 2 Ga 3.02
Hg 0.5000 0.8053 0.9186  2 Li 2.81, 2 Ga 3.02
Hg 0.5000 0.0814 0.8053  2 Li 2.81, 2 Ga 3.02
Hg 0.5000 0.6947 0.4186  2 Li 2.81, 2 Ga 3.02
Hg 0.5000 0.9186 0.1947  2 Li 2.81, 2 Ga 3.02
Hg 0.5000 0.3053 0.5814  2 Li 2.81, 2 Ga 3.02
Hg 0.5000 0.5814 0.6947  2 Li 2.81, 2 Ga 3.02
Hg 0.5000 0.4186 0.3053  2 Li 2.81, 2 Ga 3.02
Hg 0.5000 0.5000 0.0000  4 Li 2.80
Hg 0.5000 0.0000 0.5000  4 Li 2.80

A relaxed structure of LiIn2GaHg4. Source: Alexandria via LeMat-Bulk, functional PBE.

* ΔH_f (0 K): -0.064 eV/atom

Lattice parameters (Å, degrees): 3.4495 9.7419 5.7296 99.74 90.00 90.00
Closest atoms and distances in Å follow each position.
Fractional coordinates of all 8 atoms:
Li 0.5000 0.5000 0.0000  6 Hg 2.97-3.00
In 0.5000 0.0000 0.5000  6 Hg 3.08-3.26, 4 Ga 3.34, 2 In 3.45
In 0.0000 0.5000 0.5000  6 Hg 3.00-3.16, 4 Li 3.34
Ga 0.0000 0.0000 0.0000  6 Hg 3.06-3.10, 4 In 3.34
Hg 0.5000 0.2497 0.2337  1 Li 2.97, 3 In 3.08-3.16, 2 Ga 3.10, 2 Hg 3.18
Hg 0.5000 0.7503 0.7663  1 Li 2.97, 3 In 3.08-3.16, 2 Ga 3.10, 2 Hg 3.18
Hg 0.0000 0.2624 0.7724  2 Li 3.00, 3 In 3.00-3.26, 1 Ga 3.06, 2 Hg 3.18
Hg 0.0000 0.7376 0.2276  2 Li 3.00, 3 In 3.00-3.26, 1 Ga 3.06, 2 Hg 3.18